--- P ---
Computed, not measured: an optimized crystal structure of LaMoPd3 at the PBE level of DFT.

Unit cell a=4.879 b=4.879 c=4.879 alpha=90.00 beta=90.00 gamma=90.00
Fractional coordinates of all 5 atoms:
La (0.000, 0.000, 0.000)
Mo (0.500, 0.500, 0.500)
Pd (0.000, 0.500, 0.500)
Pd (0.500, 0.000, 0.500)
Pd (0.500, 0.500, 0.000)

**Space-group type**: Pm-3m, No. 221
**Size of the total moment**: 0.00 μB/f.u.

***

--- Q ---
Computed, not measured: an optimized crystal structure of LaMoPd3 at the PBE level of DFT.

Unit cell a=5.034 b=5.034 c=5.034 alpha=90.00 beta=90.00 gamma=90.00
Fractional coordinates of all 5 atoms:
La (0.000, 0.000, 0.000)
Mo (0.500, 0.500, 0.500)
Pd (0.000, 0.000, 0.500)
Pd (0.000, 0.500, 0.000)
Pd (0.500, 0.000, 0.000)

**Space-group type**: Pm-3m, No. 221
**Size of the total moment**: 0.08 μB/f.u.

***

Quick one: most stable of them? P

***

--- P ---
Computed, not measured: an optimized crystal structure of LaMoPd2 at the PBE level of DFT.

Unit cell a=4.783 b=4.783 c=17.142 alpha=90.00 beta=90.00 gamma=90.00
Fractional coordinates of all 16 atoms:
La (0.000, 0.000, 0.000)
La (0.000, 0.500, 0.250)
La (0.500, 0.000, 0.750)
La (0.500, 0.500, 0.500)
Mo (0.000, 0.000, 0.500)
Mo (0.000, 0.500, 0.750)
Mo (0.500, 0.000, 0.250)
Mo (0.500, 0.500, 0.000)
Pd (0.126, 0.250, 0.625)
Pd (0.250, 0.626, 0.875)
Pd (0.250, 0.874, 0.375)
Pd (0.374, 0.250, 0.125)
Pd (0.626, 0.750, 0.125)
Pd (0.750, 0.126, 0.375)
Pd (0.750, 0.374, 0.875)
Pd (0.874, 0.750, 0.625)

**Space-group type**: I-42d, No. 122
**Size of the total moment**: 1.00 μB/f.u.

***

--- Q ---
Computed, not measured: an optimized crystal structure of LaMoPd2 at the PBE level of DFT.

Unit cell a=6.911 b=6.911 c=6.911 alpha=90.00 beta=90.00 gamma=90.00
Fractional coordinates of all 16 atoms:
La (0.000, 0.000, 0.000)
La (0.000, 0.500, 0.500)
La (0.500, 0.000, 0.500)
La (0.500, 0.500, 0.000)
Mo (0.000, 0.000, 0.500)
Mo (0.000, 0.500, 0.000)
Mo (0.500, 0.000, 0.000)
Mo (0.500, 0.500, 0.500)
Pd (0.250, 0.250, 0.250)
Pd (0.250, 0.250, 0.750)
Pd (0.250, 0.750, 0.250)
Pd (0.250, 0.750, 0.750)
Pd (0.750, 0.250, 0.250)
Pd (0.750, 0.250, 0.750)
Pd (0.750, 0.750, 0.250)
Pd (0.750, 0.750, 0.750)

**Space-group type**: Fm-3m, No. 225
**Size of the total moment**: 3.53 μB/f.u.

***

Quick one: most stable of them? Q

***

--- P ---
Computed, not measured: an optimized crystal structure of LaMo2Pt at the PBE level of DFT.

Unit cell a=9.448 b=2.860 c=5.809 alpha=90.00 beta=93.49 gamma=90.00
Fractional coordinates of all 8 atoms:
La (0.000, 0.000, 0.000)
La (0.500, 0.500, 0.000)
Mo (0.229, 0.000, 0.683)
Mo (0.469, 0.000, 0.509)
Mo (0.729, 0.500, 0.683)
Mo (0.969, 0.500, 0.509)
Pt (0.248, 0.500, 0.274)
Pt (0.748, 0.000, 0.274)

**Space-group type**: Cm, No. 8
**Size of the total moment**: 0.00 μB/f.u.

***

--- Q ---
Computed, not measured: an optimized crystal structure of LaMo2Pt at the PBE level of DFT.

Unit cell a=4.518 b=4.518 c=3.653 alpha=90.00 beta=90.00 gamma=90.00
Fractional coordinates of all 4 atoms:
La (0.000, 0.000, 0.000)
Mo (0.000, 0.500, 0.500)
Mo (0.500, 0.000, 0.500)
Pt (0.500, 0.500, 0.000)

**Space-group type**: P4/mmm, No. 123
**Size of the total moment**: 0.00 μB/f.u.

***

--- R ---
Computed, not measured: an optimized crystal structure of LaMo2Pt at the PBE level of DFT.

Unit cell a=2.830 b=5.132 c=10.805 alpha=90.00 beta=90.00 gamma=90.00
Fractional coordinates of all 8 atoms:
La (0.000, 0.000, 0.000)
La (0.500, 0.500, 0.500)
Mo (0.000, 0.500, 0.223)
Mo (0.000, 0.500, 0.777)
Mo (0.500, 0.000, 0.277)
Mo (0.500, 0.000, 0.723)
Pt (0.000, 0.000, 0.500)
Pt (0.500, 0.500, 0.000)

**Space-group type**: Immm, No. 71
**Size of the total moment**: 0.00 μB/f.u.

***

--- S ---
Computed, not measured: an optimized crystal structure of LaMo2Pt at the PBE level of DFT.

Unit cell a=6.624 b=6.624 c=6.624 alpha=90.00 beta=90.00 gamma=90.00
Fractional coordinates of all 16 atoms:
La (0.000, 0.000, 0.000)
La (0.000, 0.500, 0.500)
La (0.500, 0.000, 0.500)
La (0.500, 0.500, 0.000)
Mo (0.250, 0.250, 0.250)
Mo (0.250, 0.250, 0.750)
Mo (0.250, 0.750, 0.250)
Mo (0.250, 0.750, 0.750)
Mo (0.750, 0.250, 0.250)
Mo (0.750, 0.250, 0.750)
Mo (0.750, 0.750, 0.250)
Mo (0.750, 0.750, 0.750)
Pt (0.000, 0.000, 0.500)
Pt (0.000, 0.500, 0.000)
Pt (0.500, 0.000, 0.000)
Pt (0.500, 0.500, 0.500)

**Space-group type**: Fm-3m, No. 225
**Size of the total moment**: 0.00 μB/f.u.

***

Quick one: most stable of them? R

***

--- P ---
Computed, not measured: an optimized crystal structure of LaMoPt at the PBE level of DFT.

Unit cell a=3.000 b=3.910 c=11.066 alpha=90.00 beta=90.00 gamma=90.00
Fractional coordinates of all 6 atoms:
La (0.000, 0.000, 0.000)
La (0.500, 0.500, 0.500)
Mo (0.000, 0.000, 0.709)
Mo (0.500, 0.500, 0.209)
Pt (0.000, 0.000, 0.298)
Pt (0.500, 0.500, 0.798)

**Space-group type**: Imm2, No. 44
**Size of the total moment**: 0.00 μB/f.u.

***

--- Q ---
Computed, not measured: an optimized crystal structure of LaMoPt at the PBE level of DFT.

Unit cell a=4.339 b=4.339 c=4.511 alpha=90.00 beta=90.00 gamma=120.00
Fractional coordinates of all 3 atoms:
La (0.000, 0.000, 0.000)
Mo (0.333, 0.667, 0.500)
Pt (0.667, 0.333, 0.500)

**Space-group type**: P-6m2, No. 187
**Size of the total moment**: 0.00 μB/f.u.

***

--- R ---
Computed, not measured: an optimized crystal structure of LaMoPt at the PBE level of DFT.

Unit cell a=3.196 b=3.196 c=12.486 alpha=90.00 beta=90.00 gamma=90.00
Fractional coordinates of all 6 atoms:
La (0.000, 0.000, 0.000)
La (0.500, 0.500, 0.500)
Mo (0.000, 0.000, 0.694)
Mo (0.500, 0.500, 0.194)
Pt (0.000, 0.000, 0.306)
Pt (0.500, 0.500, 0.806)

**Space-group type**: I4mm, No. 107
**Size of the total moment**: 0.00 μB/f.u.

***

--- S ---
Computed, not measured: an optimized crystal structure of LaMoPt at the PBE level of DFT.

Unit cell a=6.659 b=6.659 c=6.659 alpha=90.00 beta=90.00 gamma=90.00
Fractional coordinates of all 12 atoms:
La (0.000, 0.000, 0.000)
La (0.000, 0.500, 0.500)
La (0.500, 0.000, 0.500)
La (0.500, 0.500, 0.000)
Mo (0.250, 0.250, 0.750)
Mo (0.250, 0.750, 0.250)
Mo (0.750, 0.250, 0.250)
Mo (0.750, 0.750, 0.750)
Pt (0.250, 0.250, 0.250)
Pt (0.250, 0.750, 0.750)
Pt (0.750, 0.250, 0.750)
Pt (0.750, 0.750, 0.250)

**Space-group type**: F-43m, No. 216
**Size of the total moment**: 2.82 μB/f.u.

***

Quick one: most stable of them? Q

***

--- P ---
Computed, not measured: an optimized crystal structure of LaMoPt3 at the PBE level of DFT.

Unit cell a=4.893 b=4.893 c=4.893 alpha=90.00 beta=90.00 gamma=90.00
Fractional coordinates of all 5 atoms:
La (0.000, 0.000, 0.000)
Mo (0.500, 0.500, 0.500)
Pt (0.000, 0.500, 0.500)
Pt (0.500, 0.000, 0.500)
Pt (0.500, 0.500, 0.000)

**Space-group type**: Pm-3m, No. 221
**Size of the total moment**: 0.00 μB/f.u.

***

--- Q ---
Computed, not measured: an optimized crystal structure of LaMoPt3 at the PBE level of DFT.

Unit cell a=5.077 b=5.077 c=5.077 alpha=90.00 beta=90.00 gamma=90.00
Fractional coordinates of all 5 atoms:
La (0.000, 0.000, 0.000)
Mo (0.500, 0.500, 0.500)
Pt (0.000, 0.000, 0.500)
Pt (0.000, 0.500, 0.000)
Pt (0.500, 0.000, 0.000)

**Space-group type**: Pm-3m, No. 221
**Size of the total moment**: 0.00 μB/f.u.

***

Quick one: most stable of them? P

***

--- P ---
Computed, not measured: an optimized crystal structure of RbLa2Mo at the PBE level of DFT.

Unit cell a=8.372 b=8.372 c=11.832 alpha=90.00 beta=90.00 gamma=90.00
Fractional coordinates of all 16 atoms:
Rb (0.000, 0.000, 0.000)
Rb (0.000, 0.500, 0.250)
Rb (0.500, 0.000, 0.750)
Rb (0.500, 0.500, 0.500)
La (0.001, 0.750, 0.625)
La (0.250, 0.001, 0.375)
La (0.250, 0.499, 0.875)
La (0.499, 0.750, 0.125)
La (0.501, 0.250, 0.125)
La (0.750, 0.501, 0.875)
La (0.750, 0.999, 0.375)
La (0.999, 0.250, 0.625)
Mo (0.000, 0.000, 0.500)
Mo (0.000, 0.500, 0.750)
Mo (0.500, 0.000, 0.250)
Mo (0.500, 0.500, 0.000)

**Space-group type**: I-42d, No. 122
**Size of the total moment**: 0.00 μB/f.u.

***

--- Q ---
Computed, not measured: an optimized crystal structure of RbLa2Mo at the PBE level of DFT.

Unit cell a=7.757 b=7.757 c=7.757 alpha=90.00 beta=90.00 gamma=90.00
Fractional coordinates of all 16 atoms:
Rb (0.000, 0.000, 0.000)
Rb (0.000, 0.500, 0.500)
Rb (0.500, 0.000, 0.500)
Rb (0.500, 0.500, 0.000)
La (0.250, 0.250, 0.250)
La (0.250, 0.250, 0.750)
La (0.250, 0.750, 0.250)
La (0.250, 0.750, 0.750)
La (0.750, 0.250, 0.250)
La (0.750, 0.250, 0.750)
La (0.750, 0.750, 0.250)
La (0.750, 0.750, 0.750)
Mo (0.000, 0.000, 0.500)
Mo (0.000, 0.500, 0.000)
Mo (0.500, 0.000, 0.000)
Mo (0.500, 0.500, 0.500)

**Space-group type**: Fm-3m, No. 225
**Size of the total moment**: 0.00 μB/f.u.

***

Quick one: most stable of them? P